1.
# Nd12TlCo6 (GGA-PBE, relaxed)
# * E_form: -2.48 eV per formula unit
# * E_tot: -5.510 eV/atom
data_Nd12TlCo6
_space_group_name_H-M_alt 'I m -3'
_space_group_IT_number 204
_space_group_name_Hall '-I 2 2 3'
_cell_length_a 10.019
_cell_length_b 10.019
_cell_length_c 10.019
_cell_angle_alpha 90.00
_cell_angle_beta 90.00
_cell_angle_gamma 90.00
loop_
_atom_site_label
_atom_site_type_symbol
_atom_site_fract_x
_atom_site_fract_y
_atom_site_fract_z
_atom_site_occupancy
Nd1 Nd 0.000 0.193 0.306 1
Tl1 Tl 0.000 0.000 0.000 1
Co1 Co 0.000 0.389 0.500 1

2.
# Nd3Tl2Co (GGA-PBE, relaxed)
# * E_form: -1.19 eV per formula unit
# * E_tot: -4.555 eV/atom
data_Nd3Tl2Co
_space_group_name_H-M_alt 'C 1 2/c 1'
_space_group_IT_number 15
_cell_length_a 18.590
_cell_length_b 5.290
_cell_length_c 7.510
_cell_angle_alpha 90.00
_cell_angle_beta 113.72
_cell_angle_gamma 90.00
loop_
_space_group_symop_operation_xyz
'x,y,z'
'-x,-y,-z'
'-x,y,-z+1/2'
'x,-y,z+1/2'
'x+1/2,y+1/2,z'
'-x+1/2,-y+1/2,-z'
'-x+1/2,y+1/2,-z+1/2'
'x+1/2,-y+1/2,z+1/2'
loop_
_atom_site_label
_atom_site_type_symbol
_atom_site_fract_x
_atom_site_fract_y
_atom_site_fract_z
_atom_site_occupancy
Nd1 Nd 0.000 0.001 0.250 1
Nd2 Nd 0.127 0.500 0.127 1
Tl1 Tl 0.195 0.000 0.446 1
Co1 Co 0.000 0.499 0.750 1

3.
# Nd3TlCo (GGA-PBE, relaxed)
# * E_form: -0.56 eV per formula unit
# * E_tot: -4.868 eV/atom
# * polymorph energy (0 for the lowest one): 45.8 meV per atom
data_Nd3TlCo
_space_group_name_H-M_alt 'P m -3 m'
_space_group_IT_number 221
_space_group_name_Hall '-P 4 2 3'
_cell_length_a 5.289
_cell_length_b 5.289
_cell_length_c 5.289
_cell_angle_alpha 90.00
_cell_angle_beta 90.00
_cell_angle_gamma 90.00
loop_
_atom_site_label
_atom_site_type_symbol
_atom_site_fract_x
_atom_site_fract_y
_atom_site_fract_z
_atom_site_occupancy
Nd1 Nd 0.000 0.000 0.500 1
Tl1 Tl 0.500 0.500 0.500 1
Co1 Co 0.000 0.000 0.000 1

4.
# NdTlCo4 (GGA-PBE, relaxed)
# * E_form: 0.48 eV per formula unit
# * E_tot: -5.846 eV/atom
data_NdTlCo4
_space_group_name_H-M_alt 'F -4 3 m'
_space_group_IT_number 216
_space_group_name_Hall 'F -4 2 3'
_cell_length_a 7.208
_cell_length_b 7.208
_cell_length_c 7.208
_cell_angle_alpha 90.00
_cell_angle_beta 90.00
_cell_angle_gamma 90.00
loop_
_atom_site_label
_atom_site_type_symbol
_atom_site_fract_x
_atom_site_fract_y
_atom_site_fract_z
_atom_site_occupancy
Nd1 Nd 0.000 0.000 0.000 1
Tl1 Tl 0.250 0.250 0.250 1
Co1 Co 0.124 0.124 0.624 1

5.
# NdTm12Co6 (GGA-PBE, relaxed)
# * E_form: -3.08 eV per formula unit
# * E_tot: -5.481 eV/atom
data_NdTm12Co6
_space_group_name_H-M_alt 'I m -3'
_space_group_IT_number 204
_space_group_name_Hall '-I 2 2 3'
_cell_length_a 9.649
_cell_length_b 9.649
_cell_length_c 9.649
_cell_angle_alpha 90.00
_cell_angle_beta 90.00
_cell_angle_gamma 90.00
loop_
_atom_site_label
_atom_site_type_symbol
_atom_site_fract_x
_atom_site_fract_y
_atom_site_fract_z
_atom_site_occupancy
Nd1 Nd 0.000 0.000 0.000 1
Tm1 Tm 0.000 0.309 0.193 1
Co1 Co 0.000 0.114 0.500 1

6.
# Nd2Tm3Co2 (GGA-PBE, relaxed)
# * E_form: -1.08 eV per formula unit
# * E_tot: -5.463 eV/atom
data_Nd2Tm3Co2
_space_group_name_H-M_alt 'C 1 2/m 1'
_space_group_IT_number 12
_cell_length_a 12.137
_cell_length_b 3.614
_cell_length_c 8.980
_cell_angle_alpha 90.00
_cell_angle_beta 116.76
_cell_angle_gamma 90.00
loop_
_space_group_symop_operation_xyz
'x,y,z'
'-x,-y,-z'
'-x,y,-z'
'x,-y,z'
'x+1/2,y+1/2,z'
'-x+1/2,-y+1/2,-z'
'-x+1/2,y+1/2,-z'
'x+1/2,-y+1/2,z'
loop_
_atom_site_label
_atom_site_type_symbol
_atom_site_fract_x
_atom_site_fract_y
_atom_site_fract_z
_atom_site_occupancy
Nd1 Nd 0.169 0.000 0.301 1
Tm1 Tm 0.000 0.500 0.500 1
Tm2 Tm 0.120 0.500 0.926 1
Co1 Co 0.175 0.000 0.743 1

7.
# NdTm2Co (GGA-PBE, relaxed)
# * E_form: -0.53 eV per formula unit
# * E_tot: -5.336 eV/atom
# * polymorph energy (0 for the lowest one): 0.0 meV per atom
data_NdTm2Co
_space_group_name_H-M_alt 'P 1 21/m 1'
_space_group_IT_number 11
_cell_length_a 3.626
_cell_length_b 9.368
_cell_length_c 6.327
_cell_angle_alpha 90.00
_cell_angle_beta 106.56
_cell_angle_gamma 90.00
loop_
_space_group_symop_operation_xyz
'x,y,z'
'-x,-y,-z'
'-x,y+1/2,-z'
'x,-y+1/2,z'
loop_
_atom_site_label
_atom_site_type_symbol
_atom_site_fract_x
_atom_site_fract_y
_atom_site_fract_z
_atom_site_occupancy
Nd1 Nd 0.080 0.250 0.161 1
Tm1 Tm 0.356 0.073 0.713 1
Co1 Co 0.246 0.750 0.491 1

8.
# NdTm2Co (GGA-PBE, relaxed)
# * E_form: -0.16 eV per formula unit
# * E_tot: -5.245 eV/atom
# * polymorph energy (0 for the lowest one): 90.9 meV per atom
data_NdTm2Co
_space_group_name_H-M_alt 'R 3 m'
_space_group_IT_number 160
_space_group_name_Hall 'R 3 -2"'
_cell_length_a 3.7711
_cell_length_b 3.7711
_cell_length_c 26.7195
_cell_angle_alpha 90.00
_cell_angle_beta 90.00
_cell_angle_gamma 120.00
loop_
_atom_site_label
_atom_site_type_symbol
_atom_site_fract_x
_atom_site_fract_y
_atom_site_fract_z
_atom_site_occupancy
Nd1 Nd 0.0000 0.0000 0.0000 1
Tm1 Tm 0.0000 0.0000 0.5526 1
Tm2 Tm 0.0000 0.0000 0.7765 1
Co1 Co 0.0000 0.0000 0.1646 1

9.
# Nd2Tm5Co2 (GGA-PBE, relaxed)
# * E_form: -1.00 eV per formula unit
# * E_tot: -5.233 eV/atom
data_Nd2Tm5Co2
_space_group_name_H-M_alt 'C m c e'
_space_group_IT_number 64
_space_group_name_Hall '-C 2ac 2'
_cell_length_a 19.687
_cell_length_b 6.983
_cell_length_c 6.957
_cell_angle_alpha 90.00
_cell_angle_beta 90.00
_cell_angle_gamma 90.00
loop_
_atom_site_label
_atom_site_type_symbol
_atom_site_fract_x
_atom_site_fract_y
_atom_site_fract_z
_atom_site_occupancy
Nd1 Nd 0.230 0.000 0.000 1
Tm1 Tm 0.000 0.000 0.000 1
Tm2 Tm 0.103 0.180 0.323 1
Co1 Co 0.000 0.114 0.612 1

10.
# NdTm3Co8 (GGA-PBE, relaxed)
# * E_form: -2.41 eV per formula unit
# * E_tot: -6.453 eV/atom
data_NdTm3Co8
_space_group_name_H-M_alt 'R 3 m'
_space_group_IT_number 160
_space_group_name_Hall 'R 3 -2"'
_cell_length_a 5.0567
_cell_length_b 5.0567
_cell_length_c 24.8439
_cell_angle_alpha 90.00
_cell_angle_beta 90.00
_cell_angle_gamma 120.00
loop_
_atom_site_label
_atom_site_type_symbol
_atom_site_fract_x
_atom_site_fract_y
_atom_site_fract_z
_atom_site_occupancy
Nd1 Nd 0.0000 0.0000 0.0000 1
Tm1 Tm 0.0000 0.0000 0.3755 1
Tm2 Tm 0.0000 0.0000 0.4997 1
Tm3 Tm 0.0000 0.0000 0.8745 1
Co1 Co 0.0000 0.0000 0.1872 1
Co2 Co 0.0000 0.0000 0.6880 1
Co3 Co 0.0044 0.5022 0.4391 1
Co4 Co 0.1679 0.3359 0.2688 1

11.
# NdTmCo4 (GGA-PBE, relaxed)
# * E_form: -0.83 eV per formula unit
# * E_tot: -6.415 eV/atom
data_NdTmCo4
_space_group_name_H-M_alt 'F -4 3 m'
_space_group_IT_number 216
_space_group_name_Hall 'F -4 2 3'
_cell_length_a 7.216
_cell_length_b 7.216
_cell_length_c 7.216
_cell_angle_alpha 90.00
_cell_angle_beta 90.00
_cell_angle_gamma 90.00
loop_
_atom_site_label
_atom_site_type_symbol
_atom_site_fract_x
_atom_site_fract_y
_atom_site_fract_z
_atom_site_occupancy
Nd1 Nd 0.000 0.000 0.000 1
Tm1 Tm 0.250 0.250 0.750 1
Co1 Co 0.124 0.124 0.376 1

12.
# Nd2TmCo9 (GGA-PBE, relaxed)
# * E_form: -1.10 eV per formula unit
# * E_tot: -6.589 eV/atom
data_Nd2TmCo9
_space_group_name_H-M_alt 'R -3 m'
_space_group_IT_number 166
_space_group_name_Hall '-R 3 2"'
_cell_length_a 4.9813
_cell_length_b 4.9813
_cell_length_c 24.9603
_cell_angle_alpha 90.00
_cell_angle_beta 90.00
_cell_angle_gamma 120.00
loop_
_atom_site_label
_atom_site_type_symbol
_atom_site_fract_x
_atom_site_fract_y
_atom_site_fract_z
_atom_site_occupancy
Nd1 Nd 0.0000 0.0000 0.1391 1
Tm1 Tm 0.0000 0.0000 0.0000 1
Co1 Co 0.0000 0.0000 0.3332 1
Co2 Co 0.0000 0.0000 0.5000 1
Co3 Co 0.0027 0.5013 0.0782 1

13.
# NdTmCo10 (GGA-PBE, relaxed)
# * E_form: -0.98 eV per formula unit
# * E_tot: -6.773 eV/atom
data_NdTmCo10
_space_group_name_H-M_alt 'P m m m'
_space_group_IT_number 47
_cell_length_a 3.948
_cell_length_b 4.934
_cell_length_c 8.596
_cell_angle_alpha 90.00
_cell_angle_beta 90.00
_cell_angle_gamma 90.00
loop_
_space_group_symop_operation_xyz
'x,y,z'
'-x,-y,-z'
'-x,-y,z'
'x,y,-z'
'x,-y,-z'
'-x,y,z'
'-x,y,-z'
'x,-y,z'
loop_
_atom_site_label
_atom_site_type_symbol
_atom_site_fract_x
_atom_site_fract_y
_atom_site_fract_z
_atom_site_occupancy
Nd1 Nd 0.000 0.000 0.000 1
Tm1 Tm 0.000 0.500 0.500 1
Co1 Co 0.000 0.000 0.340 1
Co2 Co 0.000 0.500 0.177 1
Co3 Co 0.500 0.000 0.500 1
Co4 Co 0.500 0.254 0.256 1
Co5 Co 0.500 0.500 0.000 1

14.
# Nd8TmCo2 (GGA-PBE, relaxed)
# * E_form: 0.94 eV per formula unit
# * E_tot: -5.081 eV/atom
data_Nd8TmCo2
_space_group_name_H-M_alt 'C 1 2/m 1'
_space_group_IT_number 12
_cell_length_a 12.384
_cell_length_b 8.395
_cell_length_c 7.340
_cell_angle_alpha 90.00
_cell_angle_beta 111.38
_cell_angle_gamma 90.00
loop_
_space_group_symop_operation_xyz
'x,y,z'
'-x,-y,-z'
'-x,y,-z'
'x,-y,z'
'x+1/2,y+1/2,z'
'-x+1/2,-y+1/2,-z'
'-x+1/2,y+1/2,-z'
'x+1/2,-y+1/2,z'
loop_
_atom_site_label
_atom_site_type_symbol
_atom_site_fract_x
_atom_site_fract_y
_atom_site_fract_z
_atom_site_occupancy
Nd1 Nd 0.110 0.197 0.313 1
Nd2 Nd 0.128 0.500 0.688 1
Nd3 Nd 0.178 0.000 0.819 1
Tm1 Tm 0.000 0.500 0.000 1
Co1 Co 0.182 0.500 0.383 1

15.
# NdTm2Co (GGA-PBE, relaxed)
# * E_form: -0.44 eV per formula unit
# * E_tot: -5.314 eV/atom
# * polymorph energy (0 for the lowest one): 22.5 meV per atom
data_NdTm2Co
_space_group_name_H-M_alt 'P 4/m m m'
_space_group_IT_number 123
_space_group_name_Hall '-P 4 2'
_cell_length_a 3.374
_cell_length_b 3.374
_cell_length_c 8.857
_cell_angle_alpha 90.00
_cell_angle_beta 90.00
_cell_angle_gamma 90.00
loop_
_atom_site_label
_atom_site_type_symbol
_atom_site_fract_x
_atom_site_fract_y
_atom_site_fract_z
_atom_site_occupancy
Nd1 Nd 0.000 0.000 0.000 1
Tm1 Tm 0.500 0.500 0.322 1
Co1 Co 0.000 0.000 0.500 1

16.
# NdTm6Co2 (GGA-PBE, relaxed)
# * E_form: -0.63 eV per formula unit
# * E_tot: -5.160 eV/atom
data_NdTm6Co2
_space_group_name_H-M_alt 'I m m m'
_space_group_IT_number 71
_space_group_name_Hall '-I 2 2'
_cell_length_a 9.403
_cell_length_b 9.790
_cell_length_c 9.963
_cell_angle_alpha 90.00
_cell_angle_beta 90.00
_cell_angle_gamma 90.00
loop_
_atom_site_label
_atom_site_type_symbol
_atom_site_fract_x
_atom_site_fract_y
_atom_site_fract_z
_atom_site_occupancy
Nd1 Nd 0.000 0.000 0.000 1
Nd2 Nd 0.000 0.000 0.500 1
Tm1 Tm 0.000 0.220 0.239 1
Tm2 Tm 0.185 0.500 0.180 1
Tm3 Tm 0.211 0.313 0.500 1
Co1 Co 0.000 0.325 0.000 1
Co2 Co 0.000 0.500 0.387 1

17.
# Nd3TmCo8 (GGA-PBE, relaxed)
# * E_form: -0.98 eV per formula unit
# * E_tot: -6.384 eV/atom
data_Nd3TmCo8
_space_group_name_H-M_alt 'R 3 m'
_space_group_IT_number 160
_space_group_name_Hall 'R 3 -2"'
_cell_length_a 5.1346
_cell_length_b 5.1346
_cell_length_c 25.2129
_cell_angle_alpha 90.00
_cell_angle_beta 90.00
_cell_angle_gamma 120.00
loop_
_atom_site_label
_atom_site_type_symbol
_atom_site_fract_x
_atom_site_fract_y
_atom_site_fract_z
_atom_site_occupancy
Nd1 Nd 0.0000 0.0000 0.0000 1
Nd2 Nd 0.0000 0.0000 0.1253 1
Nd3 Nd 0.0000 0.0000 0.6250 1
Tm1 Tm 0.0000 0.0000 0.5005 1
Co1 Co 0.0000 0.0000 0.3125 1
Co2 Co 0.0000 0.0000 0.8134 1
Co3 Co 0.0047 0.5024 0.0645 1
Co4 Co 0.1681 0.3361 0.8942 1

18.
# NdTm4Co4 (GGA-PBE, relaxed)
# * E_form: -0.59 eV per formula unit
# * E_tot: -5.741 eV/atom
data_NdTm4Co4
_space_group_name_H-M_alt 'P 42/n'
_space_group_IT_number 86
_cell_length_a 8.445
_cell_length_b 8.445
_cell_length_c 5.465
_cell_angle_alpha 90.00
_cell_angle_beta 90.00
_cell_angle_gamma 90.00
loop_
_space_group_symop_operation_xyz
'x,y,z'
'-x,-y,-z'
'-y,x+1/2,z+1/2'
'y,-x+1/2,-z+1/2'
'-x+1/2,-y+1/2,z'
'x+1/2,y+1/2,-z'
'y+1/2,-x,z+1/2'
'-y+1/2,x,-z+1/2'
loop_
_atom_site_label
_atom_site_type_symbol
_atom_site_fract_x
_atom_site_fract_y
_atom_site_fract_z
_atom_site_occupancy
Nd1 Nd 0.250 0.250 0.250 1
Tm1 Tm 0.069 0.670 0.135 1
Co1 Co 0.019 0.609 0.622 1

19.
# Nd4TmCo4 (GGA-PBE, relaxed)
# * E_form: 0.14 eV per formula unit
# * E_tot: -5.758 eV/atom
data_Nd4TmCo4
_space_group_name_H-M_alt 'P 42/n'
_space_group_IT_number 86
_cell_length_a 8.508
_cell_length_b 8.508
_cell_length_c 5.785
_cell_angle_alpha 90.00
_cell_angle_beta 90.00
_cell_angle_gamma 90.00
loop_
_space_group_symop_operation_xyz
'x,y,z'
'-x,-y,-z'
'-y,x+1/2,z+1/2'
'y,-x+1/2,-z+1/2'
'-x+1/2,-y+1/2,z'
'x+1/2,y+1/2,-z'
'y+1/2,-x,z+1/2'
'-y+1/2,x,-z+1/2'
loop_
_atom_site_label
_atom_site_type_symbol
_atom_site_fract_x
_atom_site_fract_y
_atom_site_fract_z
_atom_site_occupancy
Nd1 Nd 0.053 0.677 0.128 1
Tm1 Tm 0.250 0.250 0.250 1
Co1 Co 0.008 0.615 0.604 1

20.
# NdTm2Co (GGA-PBE, relaxed)
# * E_form: -0.10 eV per formula unit
# * E_tot: -5.229 eV/atom
# * polymorph energy (0 for the lowest one): 106.8 meV per atom
data_NdTm2Co
_space_group_name_H-M_alt 'R -3 m'
_space_group_IT_number 166
_space_group_name_Hall '-R 3 2"'
_cell_length_a 3.7036
_cell_length_b 3.7036
_cell_length_c 27.5878
_cell_angle_alpha 90.00
_cell_angle_beta 90.00
_cell_angle_gamma 120.00
loop_
_atom_site_label
_atom_site_type_symbol
_atom_site_fract_x
_atom_site_fract_y
_atom_site_fract_z
_atom_site_occupancy
Nd1 Nd 0.0000 0.0000 0.0000 1
Tm1 Tm 0.0000 0.0000 0.2217 1
Co1 Co 0.0000 0.0000 0.5000 1

21.
# NdTmZnCo (GGA-PBE, relaxed)
# * E_form: -0.70 eV per formula unit
# * E_tot: -4.581 eV/atom
data_NdTmZnCo
_space_group_name_H-M_alt 'F -4 3 m'
_space_group_IT_number 216
_space_group_name_Hall 'F -4 2 3'
_cell_length_a 6.969
_cell_length_b 6.969
_cell_length_c 6.969
_cell_angle_alpha 90.00
_cell_angle_beta 90.00
_cell_angle_gamma 90.00
loop_
_atom_site_label
_atom_site_type_symbol
_atom_site_fract_x
_atom_site_fract_y
_atom_site_fract_z
_atom_site_occupancy
Nd1 Nd 0.000 0.000 0.000 1
Tm1 Tm 0.000 0.000 0.500 1
Zn1 Zn 0.250 0.250 0.250 1
Co1 Co 0.250 0.250 0.750 1